# BeMo2Ru

A relaxed structure of BeMo2Ru (PBE, Alexandria via LeMat-Bulk).

Calculated values
energy of formation = 55 meV/atom
calculated total energy = -34.4 eV/cell
total magnetization = 0.000 Bohr magnetons per cell

Cell: 4.204 2.762 4.835 Å, 82.11 90.00 90.00°
Element x y z (fractional)
Ru: 0.000 0.624 0.489
Mo: 0.000 0.040 0.961
Mo: 0.500 0.220 0.278
Be: 0.500 0.616 0.772